one.
Entry from Alexandria: an optimized crystal structure of Dy2PdO (PBE).

a = 3.159 Å, b = 3.159 Å, c = 7.045 Å
α = 90.00°, β = 90.00°, γ = 90.00°
Fractional positions:
Dy  0.000  0.000  0.226
Dy  0.000  0.000  0.774
O  0.500  0.500  0.000
Pd  0.500  0.500  0.500

## Properties
**Spin magnetization**: 0.00 μB per cell
**Space-group type**: P4/mmm (123)
**Calculated density**: 10.57 g/cm³

=====

two.
Entry from Alexandria: an optimized crystal structure of Dy2PdO (PBE).

a = 3.349 Å, b = 3.349 Å, c = 8.329 Å
α = 78.40°, β = 78.40°, γ = 60.00°
Fractional positions:
Dy  0.108  0.108  0.675
Dy  0.892  0.892  0.325
O  0.500  0.500  0.500
Pd  0.000  0.000  0.000

## Properties
**Spin magnetization**: 0.00 μB per cell
**Space-group type**: R-3m (166)
**Calculated density**: 9.44 g/cm³

=====

Quick one: most stable of them? one

=====

one.
Entry from Alexandria: an optimized crystal structure of Dy2PdO4 (PBE).

a = 5.600 Å, b = 5.604 Å, c = 6.652 Å
α = 114.91°, β = 90.00°, γ = 90.00°
Fractional positions:
O  0.825  0.675  0.000
O  0.675  0.175  0.000
O  0.175  0.325  0.000
O  0.250  0.490  0.500
O  0.325  0.825  0.000
O  0.750  0.010  0.500
O  0.750  0.510  0.500
O  0.250  0.990  0.500
Dy  0.000  0.341  0.681
Dy  0.000  0.659  0.319
Dy  0.500  0.841  0.681
Dy  0.500  0.159  0.319
Pd  0.000  0.000  0.000
Pd  0.500  0.500  0.000

## Properties
**Spin magnetization**: 0.00 μB per cell
**Space-group type**: Cmce (64)
**Calculated density**: 8.69 g/cm³

=====

two.
Entry from Alexandria: an optimized crystal structure of Dy2PdO4 (PBE).

a = 3.499 Å, b = 5.825 Å, c = 5.984 Å
α = 114.93°, β = 107.00°, γ = 90.00°
Fractional positions:
Dy  0.711  0.718  0.423
Dy  0.289  0.282  0.577
O  0.340  0.700  0.680
O  0.870  0.152  0.741
O  0.660  0.300  0.320
O  0.130  0.848  0.259
Pd  0.000  0.000  0.000

## Properties
**Spin magnetization**: 0.00 μB per cell
**Space-group type**: C2/m (12)
**Calculated density**: 7.86 g/cm³

=====

Quick one: most stable of them? one